No. 1
Entry from Alexandria via LeMat-Bulk: a geometry-optimized YNpCd2O8 structure (PBE-GGA).

a b c (Å): 4.657 6.954 5.278
angles (deg): 90.00 92.95 90.00
Space group P2/m (No. 10)
Symmetry-distinct sites (fractional):
Y: 0.000 0.000 0.000 [1 per cell]
Np: 0.000 0.500 0.000 [1 per cell]
Cd: 0.500 0.256 0.500 [2 per cell]
O: 0.141 0.000 0.576 [2 per cell]
O: 0.226 0.500 0.701 [2 per cell]
O: 0.240 0.266 0.140 [4 per cell]

spin magnetization: 0.00 μB per formula unit
raw formation energy: -1.9266 eV per atom

=====

No. 2
Entry from Alexandria via LeMat-Bulk: a geometry-optimized Y2NpCdO8 structure (PBE-GGA).

a b c (Å): 5.064 5.066 7.122
angles (deg): 87.18 87.23 87.06
Space group P-1 (No. 2)
Symmetry-distinct sites (fractional):
Y: 0.019 0.019 0.242 [2 per cell]
Np: 0.500 0.500 0.500 [1 per cell]
Cd: 0.500 0.500 0.000 [1 per cell]
O: 0.194 0.805 0.000 [2 per cell]
O: 0.208 0.790 0.500 [2 per cell]
O: 0.301 0.299 0.690 [2 per cell]
O: 0.326 0.325 0.272 [2 per cell]

spin magnetization: 0.20 μB per formula unit
raw formation energy: -2.5088 eV per atom

=====

No. 3
Entry from Alexandria via LeMat-Bulk: a geometry-optimized YNpCd2O6 structure (PBE-GGA).

a b c (Å): 5.7674 5.7674 15.3276
angles (deg): 90.00 90.00 120.00
Space group R3 (No. 146, hexagonal axes)
Symmetry-distinct sites (fractional):
Y: 0.0000 0.0000 0.0000 [3 per cell]
Np: 0.0000 0.0000 0.4955 [3 per cell]
Cd: 0.0000 0.0000 0.2779 [3 per cell]
Cd: 0.0000 0.0000 0.7833 [3 per cell]
O: 0.0443 0.3402 0.5691 [9 per cell]
O: 0.0543 0.6913 0.0732 [9 per cell]

spin magnetization: 2.00 μB per formula unit
raw formation energy: -2.3098 eV per atom

=====

No. 4
Entry from Alexandria via LeMat-Bulk: a geometry-optimized Y2NpCdO6 structure (PBE-GGA).

a b c (Å): 5.8461 5.8461 15.3613
angles (deg): 90.00 90.00 120.00
Space group R3 (No. 146, hexagonal axes)
Symmetry-distinct sites (fractional):
Y: 0.0000 0.0000 0.0000 [3 per cell]
Y: 0.0000 0.0000 0.4946 [3 per cell]
Np: 0.0000 0.0000 0.7075 [3 per cell]
Cd: 0.0000 0.0000 0.2169 [3 per cell]
O: 0.0103 0.7213 0.6071 [9 per cell]
O: 0.0308 0.3610 0.7677 [9 per cell]

spin magnetization: 3.00 μB per formula unit
raw formation energy: -2.8030 eV per atom

=====

No. 5
Entry from Alexandria via LeMat-Bulk: a geometry-optimized NpZnCdO6 structure (PBE-GGA).

a b c (Å): 5.3731 5.3731 9.7378
angles (deg): 90.00 90.00 120.00
Space group P-31c (No. 163)
Symmetry-distinct sites (fractional):
Np: 0.3333 0.6667 0.2500 [2 per cell]
Zn: 0.3333 0.6667 0.7500 [2 per cell]
Cd: 0.0000 0.0000 0.0000 [2 per cell]
O: 0.0142 0.3591 0.1374 [12 per cell]

spin magnetization: 0.00 μB per formula unit
raw formation energy: -1.6560 eV per atom

=====

No. 6
Entry from Alexandria via LeMat-Bulk: a geometry-optimized NpZnCd2O8 structure (PBE-GGA).

a b c (Å): 4.843 5.302 6.896
angles (deg): 96.67 95.10 92.50
Space group P-1 (No. 2)
Symmetry-distinct sites (fractional):
Np: 0.000 0.000 0.000 [1 per cell]
Zn: 0.000 0.000 0.500 [1 per cell]
Cd: 0.443 0.467 0.769 [2 per cell]
O: 0.114 0.580 0.517 [2 per cell]
O: 0.205 0.104 0.738 [2 per cell]
O: 0.239 0.708 0.016 [2 per cell]
O: 0.253 0.201 0.195 [2 per cell]

spin magnetization: 1.00 μB per formula unit
raw formation energy: -1.3712 eV per atom